[1]
8
Lattice="3.9554 0.0000 0.0000 0.0000 3.9554 0.0000 0.0000 0.0000 8.0678" Properties=species:S:1:pos:R:3 comment="TlZnNO, optimized geometry, DFT PBE-GGA" final_energy_ev_per_atom=-4.32 spacegroup=P4/nmm pbc="T T T"
Tl 0.9889 0.9889 1.1159
Tl 2.9666 2.9666 6.9519
Zn 0.9889 2.9666 4.0339
Zn 2.9666 0.9889 4.0339
N 0.9889 0.9889 3.2856
N 2.9666 2.9666 4.7821
O 0.9889 2.9666 0.0000
O 2.9666 0.9889 0.0000


[2]
8
Lattice="4.1937 0.0000 0.0000 0.0000 4.1937 0.0000 0.0000 0.0000 7.5851" Properties=species:S:1:pos:R:3 comment="ZrTlNO, optimized geometry, DFT PBE-GGA" final_energy_ev_per_atom=-6.83 spacegroup=P4/nmm magmom_total_mub_per_cell=0.0 pbc="T T T"
Zr 1.0484 3.1453 0.0000
Zr 3.1453 1.0484 0.0000
Tl 1.0484 1.0484 2.7536
Tl 3.1453 3.1453 4.8315
N 1.0484 1.0484 6.9783
N 3.1453 3.1453 0.6068
O 1.0484 3.1453 3.7925
O 3.1453 1.0484 3.7925


[3]
8
Lattice="4.2608 0.0000 0.0000 0.0000 4.2608 0.0000 0.0000 0.0000 8.7526" Properties=species:S:1:pos:R:3 comment="ZrTlNO, optimized geometry, DFT PBE-GGA" final_energy_ev_per_atom=-7.11 spacegroup=P4/nmm magmom_total_mub_per_cell=0.0 pbc="T T T"
Zr 1.0652 1.0652 0.7730
Zr 3.1956 3.1956 7.9796
Tl 1.0652 3.1956 4.3763
Tl 3.1956 1.0652 4.3763
N 1.0652 1.0652 2.6284
N 3.1956 3.1956 6.1242
O 1.0652 3.1956 0.0000
O 3.1956 1.0652 0.0000


[4]
8
Lattice="3.4632 0.0000 0.0000 0.0000 6.9465 0.0000 0.0000 0.0000 6.4841" Properties=species:S:1:pos:R:3 comment="ZrTlNO, optimized geometry, DFT PBE-GGA" final_energy_ev_per_atom=-7.38 spacegroup=Pmc2_1 magmom_total_mub_per_cell=0.0 pbc="T T T"
Zr 0.0000 1.1527 0.0000
Zr 0.0000 5.7937 3.2420
Tl 1.7316 2.2622 3.4160
Tl 1.7316 4.6843 0.1740
N 1.7316 2.2666 6.3172
N 1.7316 4.6799 3.0751
O 0.0000 0.1778 1.7482
O 0.0000 6.7687 4.9902


[5]
16
Lattice="5.5885 0.0000 0.0000 0.0000 7.9497 0.0000 0.0000 0.0000 5.5979" Properties=species:S:1:pos:R:3 comment="ZrTlNO, optimized geometry, DFT PBE-GGA" final_energy_ev_per_atom=-7.24 spacegroup=Pca2_1 magmom_total_mub_per_cell=0.0 pbc="T T T"
Zr 0.0678 1.0248 0.0000
Zr 2.7265 1.0248 2.7989
Zr 2.8621 6.9249 0.0000
Zr 5.5207 6.9249 2.7989
Tl 0.0809 2.8051 2.7574
Tl 2.7134 2.8051 5.5563
Tl 2.8752 5.1447 2.7574
Tl 5.5076 5.1447 5.5563
N 0.4291 5.0570 2.5111
N 2.3652 5.0570 5.3100
N 3.2233 2.8928 2.5111
N 5.1595 2.8928 5.3100
O 1.3620 7.8118 4.1941
O 1.4323 7.8118 1.3951
O 4.1563 0.1380 4.1941
O 4.2266 0.1380 1.3951


[6]
16
Lattice="5.8372 0.0000 0.0000 0.0000 8.2686 0.0000 0.0000 0.0000 5.8185" Properties=species:S:1:pos:R:3 comment="ZrTlNO, optimized geometry, DFT PBE-GGA" final_energy_ev_per_atom=-7.53 spacegroup=Pca2_1 magmom_total_mub_per_cell=0.0 pbc="T T T"
Zr 5.8367 0.7516 0.0000
Zr 0.0005 7.5170 2.9092
Zr 2.9191 0.7516 2.9092
Zr 2.9181 7.5170 0.0000
Tl 0.0228 3.0038 2.9305
Tl 2.8958 3.0038 0.0213
Tl 2.9414 5.2648 2.9305
Tl 5.8144 5.2648 0.0213
N 1.4592 8.2670 1.4524
N 1.4595 8.2670 4.3616
N 4.3778 0.0016 1.4524
N 4.3781 0.0016 4.3616
O 0.0184 2.7121 0.0092
O 2.9002 2.7121 2.9185
O 2.9370 5.5565 0.0092
O 5.8188 5.5565 2.9185


[7]
8
Lattice="4.2194 0.0000 0.0000 0.0000 4.2194 0.0000 0.0000 0.0000 8.9047" Properties=species:S:1:pos:R:3 comment="ZrTlNO, optimized geometry, DFT PBE-GGA" final_energy_ev_per_atom=-7.10 spacegroup=P4/nmm magmom_total_mub_per_cell=0.0 pbc="T T T"
Zr 1.0549 1.0549 0.8099
Zr 3.1646 3.1646 8.0948
Tl 1.0549 3.1646 4.4524
Tl 3.1646 1.0549 4.4524
N 1.0549 1.0549 2.6677
N 3.1646 3.1646 6.2371
O 1.0549 3.1646 0.0000
O 3.1646 1.0549 0.0000


[8]
8
Lattice="3.6086 0.0000 0.0000 0.0000 7.4041 0.0000 0.0000 0.0000 5.9952" Properties=species:S:1:pos:R:3 comment="ZrTlNO, optimized geometry, DFT PBE-GGA" final_energy_ev_per_atom=-7.41 spacegroup=Pmc2_1 magmom_total_mub_per_cell=0.0 pbc="T T T"
Zr 0.0000 1.0641 0.0000
Zr 0.0000 6.3400 2.9976
Tl 1.8043 2.3737 2.8058
Tl 1.8043 5.0304 5.8034
N 0.0000 0.6980 1.9945
N 0.0000 6.7061 4.9921
O 1.8043 1.9728 5.6545
O 1.8043 5.4313 2.6569


[9]
8
Lattice="4.7603 0.0000 0.0000 0.0000 4.7603 0.0000 0.0000 0.0000 4.7603" Properties=species:S:1:pos:R:3 comment="Tm4N3O, optimized geometry, DFT PBE-GGA" final_energy_ev_per_atom=-8.13 spacegroup=Pm-3m magmom_total_mub_per_cell=0.0 pbc="T T T"
Tm 0.0000 0.0000 0.0000
Tm 0.0000 2.3801 2.3801
Tm 2.3801 0.0000 2.3801
Tm 2.3801 2.3801 0.0000
N 0.0000 0.0000 2.3801
N 0.0000 2.3801 0.0000
N 2.3801 0.0000 0.0000
O 2.3801 2.3801 2.3801


[10]
16
Lattice="5.7545 0.0000 0.0000 0.0000 7.6988 0.0000 0.0000 0.0000 4.8494" Properties=species:S:1:pos:R:3 comment="TmZnNO, optimized geometry, DFT PBE-GGA" final_energy_ev_per_atom=-6.37 spacegroup=Pca2_1 magmom_total_mub_per_cell=0.0 pbc="T T T"
Tm 0.2916 1.1161 0.0000
Tm 2.5856 1.1161 2.4247
Tm 3.1688 6.5827 0.0000
Tm 5.4628 6.5827 2.4247
Zn 0.3617 4.7867 4.7523
Zn 2.5155 4.7867 2.3277
Zn 3.2389 2.9121 4.7523
Zn 5.3928 2.9121 2.3277
N 0.3588 1.0525 2.4884
N 2.5184 1.0525 0.0637
N 3.2360 6.6463 2.4884
N 5.3957 6.6463 0.0637
O 0.5517 4.6107 2.6908
O 2.3255 4.6107 0.2662
O 3.4289 3.0881 2.6908
O 5.2028 3.0881 0.2662


[11]
8
Lattice="3.6839 0.0000 0.0000 0.0000 6.0648 0.0000 0.0000 0.0000 4.9309" Properties=species:S:1:pos:R:3 comment="TmZnNO, optimized geometry, DFT PBE-GGA" final_energy_ev_per_atom=-6.42 spacegroup=Pmc2_1 magmom_total_mub_per_cell=0.0 pbc="T T T"
Tm 0.0000 1.1577 0.0000
Tm 0.0000 4.9071 2.4655
Zn 1.8420 1.8795 2.5111
Zn 1.8420 4.1853 0.0456
N 0.0000 1.0587 2.3314
N 0.0000 5.0061 4.7969
O 1.8420 2.1723 4.6552
O 1.8420 3.8924 2.1898